Cr2InBiO8: relaxed, PBE+U.

```
data_Cr2InBiO8
_chemical_formula_sum 'Cr4 In2 Bi2 O16'
_symmetry_space_group_name_H-M 'I -4 m 2'
_symmetry_Int_Tables_number 119
_symmetry_space_group_name_Hall 'I -4 -2'
_cell_length_a 7.222
_cell_length_b 7.222
_cell_length_c 6.346
_cell_angle_alpha 90.00
_cell_angle_beta 90.00
_cell_angle_gamma 90.00
loop_
_atom_site_label
_atom_site_fract_x
_atom_site_fract_y
_atom_site_fract_z
_atom_site_occupancy
Cr1 0.000 0.000 0.000 1
Cr2 0.000 0.500 0.250 1
In1 0.000 0.000 0.500 1
Bi1 0.000 0.500 0.750 1
O1 0.000 0.180 0.823 1
O2 0.000 0.312 0.420 1
```

Summary:
DOS at the Fermi energy = 0.019 states/eV/f.u.
calculated total energy = -6.38 eV per atom